Entry 1:
Compound: ScTlHg
Source: Alexandria
Functional: PBE-GGA
Structure: relaxed

Values from the calculation:
polymorph energy (0 for the lowest one) = 0.15 eV/f.u.
ΔE_f = -0.160 eV/atom
size of the total moment = 0.00 μB/f.u.
E = -3.160 eV/atom

```
ScTlHg
1.0
-1.1779 0.0028 -4.7077
4.6365 -0.4737 -3.9653
0.9942 -5.4633 2.2873
Sc Tl Hg
2 2 2
Direct
0.4654 0.6418 0.9736
0.0757 0.1476 0.4764
0.3947 0.1598 0.1146
0.1464 0.6297 0.3353
0.7895 0.6539 0.6486
0.7516 0.1355 0.8013
```

***

Entry 2:
Compound: Sc2TlHg
Source: Alexandria
Functional: PBE-GGA
Structure: relaxed

Values from the calculation:
ΔE_f = -0.247 eV/atom
size of the total moment = 0.00 μB/f.u.
E = -4.080 eV/atom

```
Sc2TlHg
1.0
-4.1855 0.0540 -2.8173
-1.3489 -0.3740 -4.8476
-1.2329 -5.8008 -0.4995
Hg Sc Tl
1 2 1
Direct
0.2500 0.2500 0.2500
0.9975 0.9975 0.0080
0.5025 0.5025 0.4920
0.7500 0.7500 0.7500
```

***

Entry 3:
Compound: Sc6TlHg5
Source: Alexandria
Functional: PBE-GGA
Structure: relaxed

Values from the calculation:
ΔE_f = -0.402 eV/atom
size of the total moment = 0.55 μB/f.u.
E = -3.890 eV/atom

```
Sc6TlHg5
1.0
-2.9726 1.4868 -3.7156
1.7045 -5.8165 -3.6911
-7.2235 -2.9203 1.2661
Sc Tl Hg
6 1 5
Direct
0.8316 0.7473 0.3367
0.8316 0.2527 0.3367
0.5000 0.2539 0.0000
0.5000 0.7461 0.0000
0.1684 0.7473 0.6633
0.1684 0.2527 0.6633
0.0000 0.0000 0.0000
0.6657 0.5000 0.6685
0.3321 0.0000 0.3359
0.0000 0.5000 0.0000
0.6679 0.0000 0.6641
0.3343 0.5000 0.3315
```

***

Entry 4:
Compound: Sc5Tl4Hg
Source: Alexandria
Functional: PBE-GGA
Structure: relaxed

Values from the calculation:
ΔE_f = -0.292 eV/atom
size of the total moment = 0.34 μB/f.u.
E = -4.434 eV/atom

```
Sc5Tl4Hg
1.0
3.5702 0.0000 0.0000
0.0000 3.5702 0.0000
0.0000 0.0000 18.1333
Sc Tl Hg
5 4 1
Direct
0.5000 0.5000 0.0939
0.5000 0.5000 0.2969
0.5000 0.5000 0.5000
0.5000 0.5000 0.7031
0.5000 0.5000 0.9061
0.0000 0.0000 0.1952
0.0000 0.0000 0.3987
0.0000 0.0000 0.6013
0.0000 0.0000 0.8048
0.0000 0.0000 0.0000
```

***

- Which of these has the lowest E?
  Sc5Tl4Hg